# 1
! YEr2Th4 (PBE, optimized geometry); values from VASP
! **SG**: No. 15
&SYSTEM
  ibrav = 0, nat = 14, ntyp = 3
/
ATOMIC_SPECIES
Th 232.04 Th.upf
Er 167.26 Er.upf
Y 88.91 Y.upf
CELL_PARAMETERS angstrom
6.5316 -0.5726 -1.9967
-3.9313 5.2473 -1.9967
0.7824 1.4065 13.3349
ATOMIC_POSITIONS crystal
Th 0.2701 0.7699 0.0003
Th 0.2301 0.7299 0.4997
Th 0.2905 0.2407 0.5157
Th 0.7299 0.2301 0.9997
Th 0.7699 0.2701 0.5003
Th 0.7095 0.7593 0.4843
Th 0.2407 0.2905 0.0157
Th 0.7593 0.7095 0.9843
Er 0.6212 0.3788 0.2500
Er 0.7660 0.2340 0.7500
Er 0.2340 0.7660 0.2500
Er 0.3788 0.6212 0.7500
Y 0.0917 0.9083 0.7500
Y 0.9083 0.0917 0.2500

***

# 2
! YErTh2 (PBE, optimized geometry); values from VASP
! **Relative energy among the computed polymorphs**: 15 meV per atom
! **SG**: No. 123
&SYSTEM
  ibrav = 0, nat = 4, ntyp = 3
/
ATOMIC_SPECIES
Y 88.91 Y.upf
Th 232.04 Th.upf
Er 167.26 Er.upf
CELL_PARAMETERS angstrom
3.5546 0.0000 0.0000
0.0000 3.5546 0.0000
0.0000 0.0000 10.1129
ATOMIC_POSITIONS crystal
Y 0.5000 0.5000 0.5000
Th 0.0000 0.0000 0.2476
Th 0.0000 0.0000 0.7524
Er 0.5000 0.5000 0.0000

***

# 3
! YErTh2 (PBE, optimized geometry); values from VASP
! **Relative energy among the computed polymorphs**: 11 meV per atom
! **SG**: No. 47
&SYSTEM
  ibrav = 0, nat = 8, ntyp = 3
/
ATOMIC_SPECIES
Th 232.04 Th.upf
Er 167.26 Er.upf
Y 88.91 Y.upf
CELL_PARAMETERS angstrom
5.0116 0.0000 0.4636
0.0000 7.1115 0.0000
-0.6548 0.0000 7.0819
ATOMIC_POSITIONS crystal
Th 0.5001 0.0000 0.2535
Th 0.5001 0.5000 0.2535
Th 0.4999 0.5000 0.7465
Th 0.4999 0.0000 0.7465
Er 0.0001 0.7500 0.5002
Er 0.9999 0.2500 0.4998
Y 0.0001 0.2500 0.9999
Y 0.9999 0.7500 0.0001

***

# 4
! Y3Er6Th2 (PBE, optimized geometry); values from VASP
! **SG**: No. 12
&SYSTEM
  ibrav = 0, nat = 11, ntyp = 3
/
ATOMIC_SPECIES
Y 88.91 Y.upf
Er 167.26 Er.upf
Th 232.04 Th.upf
CELL_PARAMETERS angstrom
-6.0285 -0.7483 -0.4026
-2.4724 -2.0628 -5.1761
-0.9671 -10.9059 3.5965
ATOMIC_POSITIONS crystal
Y 0.0000 0.0000 0.0000
Y 0.3349 0.3302 0.0000
Y 0.6651 0.6698 0.0000
Er 0.5821 0.3333 0.2540
Er 0.0846 0.3333 0.7460
Er 0.7519 0.0000 0.7461
Er 0.2481 0.0000 0.2539
Er 0.4179 0.6667 0.7460
Er 0.9154 0.6667 0.2540
Th 0.8346 0.3309 0.5000
Th 0.1654 0.6691 0.5000

***

# 5
! YErTh2 (PBE, optimized geometry); values from VASP
! **Relative energy among the computed polymorphs**: 8 meV per atom
! **SG**: No. 160
&SYSTEM
  ibrav = 0, nat = 4, ntyp = 3
/
ATOMIC_SPECIES
Y 88.91 Y.upf
Th 232.04 Th.upf
Er 167.26 Er.upf
CELL_PARAMETERS angstrom
3.5595 0.0000 0.0000
1.7797 3.0826 0.0000
1.7797 1.0275 11.6004
ATOMIC_POSITIONS crystal
Y 0.6684 0.6684 0.9947
Th 0.2488 0.2488 0.2535
Th 0.0843 0.0843 0.7472
Er 0.4985 0.4985 0.5046

***

# 6
! Y2Er3Th4 (PBE, optimized geometry); values from VASP
! **SG**: No. 12
&SYSTEM
  ibrav = 0, nat = 9, ntyp = 3
/
ATOMIC_SPECIES
Th 232.04 Th.upf
Er 167.26 Er.upf
Y 88.91 Y.upf
CELL_PARAMETERS angstrom
-4.8349 0.3405 -1.3310
0.9123 -6.4365 4.5300
1.0820 14.5338 -0.2125
ATOMIC_POSITIONS crystal
Th 0.1092 0.2183 0.3328
Th 0.6653 0.3307 0.9962
Th 0.8908 0.7817 0.6672
Th 0.3347 0.6693 0.0038
Er 0.5566 0.1131 0.6715
Er 0.0000 0.0000 0.0000
Er 0.4434 0.8869 0.3285
Y 0.7741 0.5483 0.3324
Y 0.2259 0.4517 0.6676

***

no.,formation energy (eV/atom),calculated total energy (eV for the cell shown)
1,0.232,-87.29
2,0.048,-25.67
3,0.044,-51.38
4,0.218,-59.21
5,0.042,-25.70
6,0.032,-56.01